[1]
DyTl2Ga: relaxed, PBE.

Output
The energy above the most stable polymorph in this dataset comes out at 0.00 eV/f.u.

a = 4.5908 Å, b = 4.5908 Å, c = 4.6811 Å
α = 90.00°, β = 90.00°, γ = 90.00°
Space group P4/mmm (No. 123)
One atom of each set of equivalent atoms:
Dy (0.0000, 0.0000, 0.0000) x1
Tl (0.0000, 0.5000, 0.5000) x2
Ga (0.5000, 0.5000, 0.0000) x1


[2]
RbTi3Ni: relaxed, PBE.

Output
The energy above the most stable polymorph in this dataset comes out at 0.00 eV/f.u.

a = 4.8041 Å, b = 4.8041 Å, c = 4.8041 Å
α = 90.00°, β = 90.00°, γ = 90.00°
Space group Pm-3m (No. 221)
One atom of each set of equivalent atoms:
Rb (0.0000, 0.0000, 0.0000) x1
Ti (0.0000, 0.5000, 0.5000) x3
Ni (0.5000, 0.5000, 0.5000) x1


[3]
Rb2TiZnSn: relaxed, PBE.

a = 6.7645 Å, b = 6.7645 Å, c = 5.0642 Å
α = 90.00°, β = 90.00°, γ = 90.00°
Space group P4/mmm (No. 123)
One atom of each set of equivalent atoms:
Rb (0.0000, 0.5000, 0.0000) x2
Ti (0.0000, 0.0000, 0.0000) x1
Zn (0.0000, 0.0000, 0.5000) x1
Sn (0.5000, 0.5000, 0.5000) x1


| no. | energy of formation from the pure elements (meV per atom) |
| --- | --- |
| 1 | -279 |
| 2 | 811 |
| 3 | 937 |